Y2BeFe: optimized geometry, PBE-GGA.

Cell lengths 6.163, 6.163, 4.185 Å; angles 70.15, 70.15, 34.03 degrees
Site moments in Bohr magnetons follow the coordinates.
Atoms (fractional coordinates):
Y: 0.004 0.004 0.996  -0.03
Y: 0.239 0.239 0.261  -0.13
Be: 0.434 0.434 0.566  -0.04
Fe: 0.823 0.823 0.677  1.45

Properties
- DFT formation energy: 0.14 eV per atom